VASP calculation (GGA-PBEsol) on an optimized crystal structure of Ir2PbCl2.

Cell: 3.4649 3.4649 10.4830 Å, 99.51 99.51 90.00°
Atoms (fractional coordinates):
1 Pb 0.0000 0.0000 0.0000
2 Ir 0.2500 0.7500 0.5000
3 Ir 0.7500 0.2500 0.5000
4 Cl 0.4178 0.4178 0.8356
5 Cl 0.5822 0.5822 0.1644

Properties
**E**: -5.151 eV/atom

VASP calculation (GGA-PBEsol) on an optimized crystal structure of BaNaAs2Br.

Cell: 6.1583 5.8928 5.8928 Å, 90.00 90.00 90.00°
Last column: magnetic moment on the atom in μB.
Atoms (fractional coordinates):
1 Na 0.5000 0.5000 0.5000  0.00
2 As 0.0000 0.0000 0.5000  0.31
3 As 0.0000 0.5000 0.0000  0.31
4 Ba 0.0000 0.0000 0.0000  0.01
5 Br 0.5000 0.0000 0.0000  0.08

Properties
**E**: -3.027 eV/atom

VASP calculation (GGA-PBEsol) on an optimized crystal structure of Sb2PBr.

Cell: 3.4965 3.4965 7.5660 Å, 90.00 90.00 90.00°
Atoms (fractional coordinates):
1 Sb 0.0000 0.0000 0.6990
2 Sb 0.0000 0.0000 0.3010
3 Br 0.5000 0.5000 0.0000
4 P 0.5000 0.5000 0.5000

Properties
**Energy above the most stable polymorph in this dataset**: 0 meV/atom

VASP calculation (GGA-PBEsol) on an optimized crystal structure of CaLa2Cd.

Cell: 4.0349 4.0349 7.9595 Å, 90.00 90.00 90.00°
Atoms (fractional coordinates):
1 Ca 0.5000 0.5000 0.0000
2 Cd 0.5000 0.5000 0.5000
3 La 0.0000 0.0000 0.7147
4 La 0.0000 0.0000 0.2853

Properties
**E**: -3.612 eV/atom

VASP calculation (GGA-PBEsol) on an optimized crystal structure of LaZnIr.

Cell: 4.7075 4.7075 4.7075 Å, 60.00 60.00 60.00°
Atoms (fractional coordinates):
1 Ir 0.5000 0.5000 0.5000
2 La 0.2500 0.2500 0.2500
3 Zn 0.0000 0.0000 0.0000

Properties
**E**: -5.243 eV/atom

VASP calculation (GGA-PBEsol) on an optimized crystal structure of MgTlPb2.

Cell: 3.4060 3.4060 10.8510 Å, 90.00 90.00 118.57°
Atoms (fractional coordinates):
1 Pb 0.0000 0.0000 0.0166
2 Pb 0.5000 0.5000 0.7453
3 Tl 0.0000 0.0000 0.4840
4 Mg 0.5000 0.5000 0.2541

Properties
**E**: -3.079 eV/atom

VASP calculation (GGA-PBEsol) on an optimized crystal structure of TiIr3Os.

Cell: 4.6601 4.6601 4.6601 Å, 90.00 90.00 90.00°
Last column: magnetic moment on the atom in μB.
Atoms (fractional coordinates):
1 Ir 0.0000 0.5000 0.0000  -0.07
2 Ir 0.0000 0.0000 0.5000  -0.07
3 Ir 0.5000 0.0000 0.0000  -0.07
4 Os 0.0000 0.0000 0.0000  0.03
5 Ti 0.5000 0.5000 0.5000  1.08

Properties
**E**: -8.269 eV/atom

VASP calculation (GGA-PBEsol) on an optimized crystal structure of AlZn2Fe.

Cell: 3.6586 3.6586 3.8395 Å, 90.00 90.00 90.00°
Last column: magnetic moment on the atom in μB.
Atoms (fractional coordinates):
1 Zn 0.0000 0.5000 0.0000  -0.02
2 Zn 0.5000 0.0000 0.0000  -0.02
3 Fe 0.0000 0.0000 0.5000  1.90
4 Al 0.5000 0.5000 0.5000  -0.01

Properties
**E**: -4.135 eV/atom

What did the fourth record say?
VASP calculation (GGA-PBEsol) on an optimized crystal structure of CaLa2Cd.

Cell: 4.0349 4.0349 7.9595 Å, 90.00 90.00 90.00°
Atoms (fractional coordinates):
1 Ca 0.5000 0.5000 0.0000
2 Cd 0.5000 0.5000 0.5000
3 La 0.0000 0.0000 0.7147
4 La 0.0000 0.0000 0.2853

Properties
**E**: -3.612 eV/atom